No. 1
The following is a GGA-PBE calculation of crystalline NaAcTe2O8 at its relaxed geometry, from the Alexandria database.

## Properties
* size of the total moment: 0.000 μB per cell
* energy relative to the elements, uncorrected: -1.6205 eV per atom

The structure in CIF format:
```
data_NaAcTe2O8
_symmetry_space_group_name_H-M 'I -4'
_symmetry_Int_Tables_number 82
_symmetry_space_group_name_Hall 'I -4'
_cell_length_a 5.541
_cell_length_b 5.541
_cell_length_c 11.988
_cell_angle_alpha 90.00
_cell_angle_beta 90.00
_cell_angle_gamma 90.00
loop_
_atom_site_label
_atom_site_fract_x
_atom_site_fract_y
_atom_site_fract_z
Na1 0.000 0.000 0.000
Ac1 0.000 0.500 0.250
Te1 0.000 0.000 0.500
Te2 0.000 0.500 0.750
O1 0.151 0.236 0.415
O2 0.152 0.739 0.832
```

---

No. 2
The following is a GGA-PBE calculation of crystalline Na2AcTeO6 at its relaxed geometry, from the Alexandria database.

## Properties
* size of the total moment: 2.164 μB per cell
* energy relative to the elements, uncorrected: -1.7822 eV per atom

The structure in CIF format:
```
data_Na2AcTeO6
_symmetry_space_group_name_H-M 'P 1 21/c 1'
_symmetry_Int_Tables_number 14
_symmetry_space_group_name_Hall '-P 2ybc'
_cell_length_a 5.847
_cell_length_b 6.059
_cell_length_c 10.167
_cell_angle_alpha 90.00
_cell_angle_beta 124.67
_cell_angle_gamma 90.00
loop_
_atom_site_label
_atom_site_fract_x
_atom_site_fract_y
_atom_site_fract_z
Na1 0.231 0.037 0.235
Ac1 0.000 0.000 0.500
Te1 0.500 0.000 0.000
O1 0.183 0.168 0.960
O2 0.269 0.734 0.925
O3 0.392 0.068 0.784
```

---

No. 3
The following is a GGA-PBE calculation of crystalline NaAc2TeO8 at its relaxed geometry, from the Alexandria database.

## Properties
* size of the total moment: 1.017 μB per cell
* energy relative to the elements, uncorrected: -1.8551 eV per atom

The structure in CIF format:
```
data_NaAc2TeO8
_symmetry_space_group_name_H-M 'P 1 2/m 1'
_symmetry_Int_Tables_number 10
_symmetry_space_group_name_Hall '-P 2y'
_cell_length_a 4.747
_cell_length_b 7.987
_cell_length_c 4.985
_cell_angle_alpha 90.00
_cell_angle_beta 97.22
_cell_angle_gamma 90.00
loop_
_atom_site_label
_atom_site_fract_x
_atom_site_fract_y
_atom_site_fract_z
Na1 0.000 0.000 0.000
Ac1 0.500 0.260 0.500
Te1 0.000 0.500 0.000
O1 0.093 0.313 0.771
O2 0.365 0.500 0.224
O3 0.489 0.000 0.146
```

---

No. 4
The following is a GGA-PBE calculation of crystalline NaAcTeO at its relaxed geometry, from the Alexandria database.

## Properties
* size of the total moment: 0.000 μB per cell
* energy relative to the elements, uncorrected: -2.1517 eV per atom

The structure in CIF format:
```
data_NaAcTeO
_symmetry_space_group_name_H-M 'P 4/n m m'
_symmetry_Int_Tables_number 129
_cell_length_a 4.441
_cell_length_b 4.441
_cell_length_c 10.514
_cell_angle_alpha 90.00
_cell_angle_beta 90.00
_cell_angle_gamma 90.00
loop_
_symmetry_equiv_pos_as_xyz
'x,y,z'
'-x,-y,-z'
'-y+1/2,x,z'
'y+1/2,-x,-z'
'-x+1/2,-y+1/2,z'
'x+1/2,y+1/2,-z'
'y,-x+1/2,z'
'-y,x+1/2,-z'
'x+1/2,-y,-z'
'-x+1/2,y,z'
'-y,-x,-z'
'y,x,z'
'-x,y+1/2,-z'
'x,-y+1/2,z'
'y+1/2,x+1/2,-z'
'-y+1/2,-x+1/2,z'
loop_
_atom_site_label
_atom_site_fract_x
_atom_site_fract_y
_atom_site_fract_z
Na1 0.250 0.750 0.000
Ac1 0.250 0.250 0.387
Te1 0.250 0.250 0.799
O1 0.250 0.750 0.500
```

---

No. 5
The following is a GGA-PBE calculation of crystalline NaAcTe2O6 at its relaxed geometry, from the Alexandria database.

## Properties
* size of the total moment: 0.000 μB per cell
* energy relative to the elements, uncorrected: -1.8310 eV per atom

The structure in CIF format:
```
data_NaAcTe2O6
_symmetry_space_group_name_H-M 'C 1 2/c 1'
_symmetry_Int_Tables_number 15
_symmetry_space_group_name_Hall '-C 2yc'
_cell_length_a 9.604
_cell_length_b 12.494
_cell_length_c 7.454
_cell_angle_alpha 90.00
_cell_angle_beta 125.10
_cell_angle_gamma 90.00
loop_
_atom_site_label
_atom_site_fract_x
_atom_site_fract_y
_atom_site_fract_z
Na1 0.000 0.207 0.250
Ac1 0.000 0.100 0.750
Te1 0.136 0.393 0.667
O1 0.124 0.070 0.180
O2 0.138 0.243 0.628
O3 0.164 0.392 0.941
```

---

No. 6
The following is a GGA-PBE calculation of crystalline Na3Ac3TeO8 at its relaxed geometry, from the Alexandria database.

## Properties
* size of the total moment: 0.000 μB per cell
* energy relative to the elements, uncorrected: -2.2362 eV per atom

The structure in CIF format:
```
data_Na3Ac3TeO8
_symmetry_space_group_name_H-M 'R -3 m'
_symmetry_Int_Tables_number 166
_symmetry_space_group_name_Hall '-R 3 2"'
_cell_length_a 7.4564
_cell_length_b 7.4564
_cell_length_c 16.8361
_cell_angle_alpha 90.00
_cell_angle_beta 90.00
_cell_angle_gamma 120.00
loop_
_atom_site_label
_atom_site_fract_x
_atom_site_fract_y
_atom_site_fract_z
Na1 0.0000 0.5000 0.0000
Ac1 0.0000 0.5000 0.5000
Te1 0.0000 0.0000 0.5000
O1 0.0000 0.0000 0.2400
O2 0.0362 0.5181 0.2359
```

---

No. 7
The following is a GGA-PBE calculation of crystalline NaAc4Ti3O12 at its relaxed geometry, from the Alexandria database.

## Properties
* size of the total moment: 1.980 μB per cell
* energy relative to the elements, uncorrected: -3.0991 eV per atom

The structure in CIF format:
```
data_NaAc4Ti3O12
_symmetry_space_group_name_H-M 'I m -3 m'
_symmetry_Int_Tables_number 229
_symmetry_space_group_name_Hall '-I 4 2 3'
_cell_length_a 8.085
_cell_length_b 8.085
_cell_length_c 8.085
_cell_angle_alpha 90.00
_cell_angle_beta 90.00
_cell_angle_gamma 90.00
loop_
_atom_site_label
_atom_site_fract_x
_atom_site_fract_y
_atom_site_fract_z
Na1 0.000 0.000 0.000
Ac1 0.250 0.250 0.250
Ti1 0.000 0.000 0.500
O1 0.000 0.000 0.265
O2 0.000 0.250 0.500
```

---

No. 8
The following is a GGA-PBE calculation of crystalline Na3Ac3TiO8 at its relaxed geometry, from the Alexandria database.

## Properties
* size of the total moment: 0.000 μB per cell
* energy relative to the elements, uncorrected: -2.6165 eV per atom

The structure in CIF format:
```
data_Na3Ac3TiO8
_symmetry_space_group_name_H-M 'R -3 m'
_symmetry_Int_Tables_number 166
_symmetry_space_group_name_Hall '-R 3 2"'
_cell_length_a 7.2635
_cell_length_b 7.2635
_cell_length_c 16.7685
_cell_angle_alpha 90.00
_cell_angle_beta 90.00
_cell_angle_gamma 120.00
loop_
_atom_site_label
_atom_site_fract_x
_atom_site_fract_y
_atom_site_fract_z
Na1 0.0000 0.5000 0.0000
Ac1 0.0000 0.5000 0.5000
Ti1 0.0000 0.0000 0.5000
O1 0.0000 0.0000 0.2433
O2 0.0560 0.5280 0.2319
```

---

No. 9
The following is a GGA-PBE calculation of crystalline NaAcTiO4 at its relaxed geometry, from the Alexandria database.

## Properties
* size of the total moment: 0.000 μB per cell
* energy relative to the elements, uncorrected: -2.9320 eV per atom

The structure in CIF format:
```
data_NaAcTiO4
_symmetry_space_group_name_H-M 'I 4 m m'
_symmetry_Int_Tables_number 107
_symmetry_space_group_name_Hall 'I 4 -2'
_cell_length_a 3.841
_cell_length_b 3.841
_cell_length_c 13.116
_cell_angle_alpha 90.00
_cell_angle_beta 90.00
_cell_angle_gamma 90.00
loop_
_atom_site_label
_atom_site_fract_x
_atom_site_fract_y
_atom_site_fract_z
Na1 0.000 0.000 0.000
Ac1 0.000 0.000 0.297
Ti1 0.000 0.000 0.628
O1 0.000 0.000 0.491
O2 0.000 0.000 0.820
O3 0.000 0.500 0.156
```

---

No. 10
The following is a GGA-PBE calculation of crystalline Na2AcTi2O7 at its relaxed geometry, from the Alexandria database.

## Properties
* size of the total moment: 2.025 μB per cell
* energy relative to the elements, uncorrected: -2.6729 eV per atom

The structure in CIF format:
```
data_Na2AcTi2O7
_symmetry_space_group_name_H-M 'I 4/m m m'
_symmetry_Int_Tables_number 139
_symmetry_space_group_name_Hall '-I 4 2'
_cell_length_a 3.890
_cell_length_b 3.890
_cell_length_c 20.825
_cell_angle_alpha 90.00
_cell_angle_beta 90.00
_cell_angle_gamma 90.00
loop_
_atom_site_label
_atom_site_fract_x
_atom_site_fract_y
_atom_site_fract_z
Na1 0.000 0.000 0.195
Ac1 0.000 0.000 0.000
Ti1 0.000 0.000 0.390
O1 0.000 0.000 0.306
O2 0.000 0.000 0.500
O3 0.000 0.500 0.093
```

---

No. 11
The following is a GGA-PBE calculation of crystalline Na3Ac2TiO6 at its relaxed geometry, from the Alexandria database.

## Properties
* size of the total moment: 1.803 μB per cell
* energy relative to the elements, uncorrected: -2.4067 eV per atom

The structure in CIF format:
```
data_Na3Ac2TiO6
_symmetry_space_group_name_H-M 'C 1 2/m 1'
_symmetry_Int_Tables_number 12
_symmetry_space_group_name_Hall '-C 2y'
_cell_length_a 6.100
_cell_length_b 10.974
_cell_length_c 5.941
_cell_angle_alpha 90.00
_cell_angle_beta 107.04
_cell_angle_gamma 90.00
loop_
_atom_site_label
_atom_site_fract_x
_atom_site_fract_y
_atom_site_fract_z
Na1 0.000 0.000 0.000
Na2 0.000 0.370 0.000
Ac1 0.000 0.168 0.500
Ti1 0.000 0.500 0.500
O1 0.197 0.361 0.703
O2 0.243 0.500 0.291
```

---

No. 12
The following is a GGA-PBE calculation of crystalline Na3Ac2TlO6 at its relaxed geometry, from the Alexandria database.

## Properties
* size of the total moment: 0.000 μB per cell
* energy relative to the elements, uncorrected: -2.0079 eV per atom

The structure in CIF format:
```
data_Na3Ac2TlO6
_symmetry_space_group_name_H-M 'C 1 2/m 1'
_symmetry_Int_Tables_number 12
_symmetry_space_group_name_Hall '-C 2y'
_cell_length_a 6.304
_cell_length_b 11.102
_cell_length_c 6.066
_cell_angle_alpha 90.00
_cell_angle_beta 108.58
_cell_angle_gamma 90.00
loop_
_atom_site_label
_atom_site_fract_x
_atom_site_fract_y
_atom_site_fract_z
Na1 0.000 0.000 0.000
Na2 0.000 0.361 0.000
Ac1 0.000 0.167 0.500
Tl1 0.000 0.500 0.500
O1 0.225 0.344 0.724
O2 0.243 0.000 0.728
```

---

Question: Which value of energy relative to the elements, uncorrected does entry 1 give?
Answer: -1.6205 eV per atom

---

Question: Which value of size of the total moment does entry 12 give?
Answer: 0.000 μB per cell